(1)
Entry from Alexandria via LeMat-Bulk: an optimized crystal structure of ZrZnNiPt (PBE).

Structure (extended XYZ):
```
4
Lattice="-0.463 1.071 3.888 -1.736 -3.585 0.781 4.490 -0.209 -1.527" Properties=species:S:1:pos:R:3 pbc="T T T"
Zr 0.827 -2.526 0.794
Zn 1.464 -0.198 2.348
Ni -0.463 1.071 3.888
Pt 3.391 -1.466 0.808
```

## Properties
space-group type	I-4m2 (119)
energy above the most stable polymorph in this dataset	0.000	eV/atom
D(E_F)	1.74	states/eV per cell
total energy	-6.038	eV/atom
DFT formation energy	-0.627	eV per atom

=====

(2)
Entry from Alexandria via LeMat-Bulk: an optimized crystal structure of ZrNi2Pt (PBE).

Structure (extended XYZ):
```
4
Lattice="-0.161 2.603 3.891 -4.498 0.350 1.261 2.584 -3.768 -1.033" Properties=species:S:1:pos:R:3 pbc="T T T"
Ni 0.000 0.000 0.000
Ni -2.329 1.476 2.576
Zr -2.122 -0.971 1.403
Pt 0.047 0.156 2.718
```

## Properties
space-group type	I4/mmm (139)
D(E_F)	3.08	states/eV per cell
total energy	-7.159	eV/atom
DFT formation energy	-0.621	eV per atom

=====

(3)
Entry from Alexandria via LeMat-Bulk: an optimized crystal structure of ZrNi2Pt (PBE).

Structure (extended XYZ):
```
4
Lattice="-2.142 -1.265 3.626 0.754 -3.973 1.726 2.158 -0.367 3.813" Properties=species:S:1:pos:R:3 pbc="T T T"
Ni 0.000 0.000 0.000
Ni 0.193 -1.401 2.291
Pt 0.385 -2.802 4.582
Zr 0.578 -4.204 6.874
```

## Properties
space-group type	F-43m (216)
D(E_F)	2.03	states/eV per cell
total energy	-6.985	eV/atom
DFT formation energy	-0.447	eV per atom

=====

(4)
Entry from Alexandria via LeMat-Bulk: an optimized crystal structure of ZrNiPt2 (PBE).

Structure (extended XYZ):
```
4
Lattice="9.131 0.020 0.012 8.674 2.854 0.012 8.674 1.400 2.487" Properties=species:S:1:pos:R:3 pbc="T T T"
Ni 19.860 3.206 1.883
Pt 0.144 0.023 0.014
Pt 13.096 2.114 1.242
Zr 6.620 1.069 0.628
```

## Properties
space-group type	R-3m (166)
D(E_F)	6.96	states/eV per cell
total energy	-6.861	eV/atom
DFT formation energy	-0.258	eV per atom

=====

(5)
Entry from Alexandria via LeMat-Bulk: an optimized crystal structure of ZrNiPt (PBE).

Structure (extended XYZ):
```
6
Lattice="4.821 -0.957 0.000 -1.796 4.575 0.000 0.000 0.000 4.915" Properties=species:S:1:pos:R:3 pbc="T T T"
Ni 4.407 -0.611 3.686
Ni -1.381 4.229 1.229
Pt -0.072 3.134 3.686
Pt 3.098 0.484 1.229
Zr 0.806 2.400 1.229
Zr 2.219 1.218 3.686
```

## Properties
space-group type	Cmcm (63)
D(E_F)	5.23	states/eV per cell
total energy	-7.315	eV/atom
DFT formation energy	-0.525	eV per atom

=====

(6)
Entry from Alexandria via LeMat-Bulk: an optimized crystal structure of Zr4NiPt (PBE).

Structure (extended XYZ):
```
6
Lattice="5.220 -0.142 -1.382 -3.122 4.186 -1.382 0.074 0.142 5.400" Properties=species:S:1:pos:R:3 pbc="T T T"
Zr 2.811 0.317 0.029
Zr 3.532 1.705 2.606
Zr -2.338 3.869 1.318
Zr 0.338 2.481 1.318
Ni 1.049 2.022 -1.382
Pt 0.000 0.000 0.000
```

## Properties
space-group type	I422 (97)
energy above the most stable polymorph in this dataset	0.000	eV/atom
D(E_F)	7.61	states/eV per cell
total energy	-8.218	eV/atom
DFT formation energy	-0.549	eV per atom

=====

(7)
Entry from Alexandria via LeMat-Bulk: an optimized crystal structure of Zr4Ni12Pt (PBE).

Structure (extended XYZ):
```
17
Lattice="6.343 0.000 -2.242 -3.171 5.493 -2.242 0.000 0.000 6.727" Properties=species:S:1:pos:R:3 pbc="T T T"
Zr 0.000 0.000 3.364
Zr 3.171 0.000 -1.121
Zr 1.586 2.746 1.121
Zr -1.586 2.746 -1.121
Ni -1.008 1.746 1.425
Ni -2.163 3.747 3.060
Ni 2.163 3.747 -3.060
Ni 1.008 1.746 -1.425
Ni 2.016 0.000 1.425
Ni 4.327 0.000 3.060
Ni 2.378 1.373 3.364
Ni 0.793 4.120 -1.121
Ni 3.964 1.373 1.121
Ni -0.793 4.120 1.121
Ni 3.171 2.746 -1.121
Ni 0.000 2.746 3.364
Pt 0.000 0.000 0.000
```

## Properties
space-group type	Im-3m (229)
D(E_F)	10.93	states/eV per cell
total energy	-6.802	eV/atom
DFT formation energy	-0.354	eV per atom

=====

(8)
Entry from Alexandria via LeMat-Bulk: an optimized crystal structure of Zr3Ni8Pt (PBE).

Structure (extended XYZ):
```
12
Lattice="-1.706 3.711 -2.639 -4.455 -0.238 -1.935 -5.101 4.459 5.087" Properties=species:S:1:pos:R:3 pbc="T T T"
Zr -6.738 5.165 2.659
Zr -6.258 3.579 -4.363
Zr -5.556 3.884 0.093
Ni -4.491 4.215 -2.400
Ni -8.436 4.470 0.543
Ni -3.626 2.335 -1.063
Ni -9.291 6.329 -0.780
Ni -3.386 2.601 1.366
Ni -9.013 6.563 1.614
Ni -5.883 2.215 -2.043
Ni -7.059 6.448 0.190
Pt -7.342 4.752 -2.012
```

## Properties
space-group type	R3m (160)
D(E_F)	9.82	states/eV per cell
total energy	-7.004	eV/atom
DFT formation energy	-0.509	eV per atom